a | MnTlCo after structural relaxation. Source: Alexandria via LeMat-Bulk, functional PBE-GGA.

a b c (Å): 3.0522 3.0522 6.3137
angles (deg): 90.00 90.00 120.00
Space group P3m1 (No. 156)
Unique sites:
Mn1 0.0000 0.0000 0.0000 x1
Tl1 0.6667 0.3333 0.3790 x1
Co1 0.3333 0.6667 0.7292 x1

Properties
The value obtained for the density of states at the Fermi level is 0.917 states/eV/atom.

=====

b | MnTlCo after structural relaxation. Source: Alexandria via LeMat-Bulk, functional PBE-GGA.

a b c (Å): 3.212 3.212 9.317
angles (deg): 90.00 90.00 90.00
Space group I4mm (No. 107)
Unique sites:
Mn1 0.000 0.000 0.000 x2
Tl1 0.000 0.000 0.695 x2
Co1 0.000 0.000 0.379 x2

Properties
The value obtained for the density of states at the Fermi level is 0.291 states/eV/atom.

=====

Energy relative to the most stable one, in meV/atom: a 199; b 0

=====

a | MnTlCo after structural relaxation. Source: Alexandria via LeMat-Bulk, functional PBE-GGA.

a b c (Å): 6.014 6.014 6.014
angles (deg): 90.00 90.00 90.00
Space group F-43m (No. 216)
Unique sites:
Mn1 0.000 0.000 0.000 x4
Tl1 0.000 0.000 0.500 x4
Co1 0.250 0.250 0.250 x4

Properties
The value obtained for the density of states at the Fermi level is 0.648 states/eV/atom.

=====

b | MnTlCo after structural relaxation. Source: Alexandria via LeMat-Bulk, functional PBE-GGA.

a b c (Å): 4.3186 4.3186 2.9757
angles (deg): 90.00 90.00 120.00
Space group P3m1 (No. 156)
Unique sites:
Mn1 0.0000 0.0000 0.0000 x1
Tl1 0.3333 0.6667 0.4175 x1
Co1 0.6667 0.3333 0.7861 x1

Properties
The value obtained for the density of states at the Fermi level is 0.688 states/eV/atom.

=====

Energy relative to the most stable one, in meV/atom: a 66; b 0

=====

a | TmMnCo after structural relaxation. Source: Alexandria via LeMat-Bulk, functional PBE-GGA.

a b c (Å): 5.195 5.204 6.971
angles (deg): 90.00 90.00 90.00
Space group Imma (No. 74)
Unique sites:
Tm1 0.000 0.250 0.120 x4
Mn1 0.000 0.000 0.500 x4
Co1 0.250 0.250 0.750 x4

Properties
The value obtained for the density of states at the Fermi level is 1.212 states/eV/atom.

=====

b | TmMnCo after structural relaxation. Source: Alexandria via LeMat-Bulk, functional PBE-GGA.

a b c (Å): 3.8389 3.8389 4.0713
angles (deg): 90.00 90.00 120.00
Space group P-6m2 (No. 187)
Unique sites:
Tm1 0.0000 0.0000 0.0000 x1
Mn1 0.3333 0.6667 0.5000 x1
Co1 0.6667 0.3333 0.5000 x1

Properties
The value obtained for the density of states at the Fermi level is 1.392 states/eV/atom.

=====

Energy relative to the most stable one, in meV/atom: a 0; b 120

=====

a | UMnCo after structural relaxation. Source: Alexandria via LeMat-Bulk, functional PBE-GGA.

a b c (Å): 3.7261 3.7261 3.9439
angles (deg): 90.00 90.00 120.00
Space group P3m1 (No. 156)
Unique sites:
U1 0.0000 0.0000 0.0000 x1
Mn1 0.6667 0.3333 0.3984 x1
Co1 0.3333 0.6667 0.5789 x1

Properties
The value obtained for the density of states at the Fermi level is 1.538 states/eV/atom.

=====

b | UMnCo after structural relaxation. Source: Alexandria via LeMat-Bulk, functional PBE-GGA.

a b c (Å): 2.854 2.854 10.991
angles (deg): 90.00 90.00 90.00
Space group I4mm (No. 107)
Unique sites:
U1 0.000 0.000 0.000 x2
Mn1 0.000 0.000 0.309 x2
Co1 0.000 0.000 0.678 x2

Properties
The value obtained for the density of states at the Fermi level is 1.274 states/eV/atom.

=====

Energy relative to the most stable one, in meV/atom: a 126; b 0

=====

a | MnV2Co6 after structural relaxation. Source: Alexandria via LeMat-Bulk, functional PBE-GGA.

a b c (Å): 8.086 4.839 5.473
angles (deg): 90.00 101.22 90.00
Space group C2/m (No. 12)
Unique sites:
Mn1 0.000 0.000 0.000 x2
V1 0.159 0.500 0.871 x4
Co1 0.105 0.259 0.352 x8
Co2 0.161 0.000 0.719 x4

Properties
The value obtained for the density of states at the Fermi level is 1.209 states/eV/atom.

=====

b | MnV2Co6 after structural relaxation. Source: Alexandria via LeMat-Bulk, functional PBE-GGA.

a b c (Å): 4.7627 4.7627 5.3791
angles (deg): 90.00 90.00 120.00
Space group P-3m1 (No. 164)
Unique sites:
Mn1 0.0000 0.0000 0.0000 x1
V1 0.3333 0.6667 0.8734 x2
Co1 0.1737 0.3474 0.3243 x6

Properties
The value obtained for the density of states at the Fermi level is 1.549 states/eV/atom.

=====

Energy relative to the most stable one, in meV/atom: a 0; b 32

=====

a | Mn2CoW after structural relaxation. Source: Alexandria via LeMat-Bulk, functional PBE-GGA.

a b c (Å): 3.055 4.023 8.358
angles (deg): 90.00 90.00 90.00
Space group Imm2 (No. 44)
Unique sites:
Mn1 0.000 0.000 0.000 x2
Mn2 0.000 0.500 0.245 x2
Co1 0.000 0.000 0.502 x2
W1 0.000 0.500 0.752 x2

Properties
The value obtained for the density of states at the Fermi level is 0.662 states/eV/atom.

=====

b | Mn2CoW after structural relaxation. Source: Alexandria via LeMat-Bulk, functional PBE-GGA.

a b c (Å): 8.568 2.634 4.483
angles (deg): 90.00 100.64 90.00
Space group Cm (No. 8)
Unique sites:
Mn1 0.000 0.000 0.000 x2
Mn2 0.244 0.500 0.208 x2
Co1 0.487 0.000 0.469 x2
W1 0.240 0.000 0.704 x2

Properties
The value obtained for the density of states at the Fermi level is 1.262 states/eV/atom.

=====

Energy relative to the most stable one, in meV/atom: a 0; b 85

=====

a | Mn2CoW after structural relaxation. Source: Alexandria via LeMat-Bulk, functional PBE-GGA.

a b c (Å): 5.869 5.869 5.869
angles (deg): 90.00 90.00 90.00
Space group F-43m (No. 216)
Unique sites:
Mn1 0.000 0.000 0.000 x4
Mn2 0.250 0.250 0.250 x4
Co1 0.250 0.250 0.750 x4
W1 0.000 0.000 0.500 x4

Properties
The value obtained for the density of states at the Fermi level is 0.656 states/eV/atom.

=====

b | Mn2CoW after structural relaxation. Source: Alexandria via LeMat-Bulk, functional PBE-GGA.

a b c (Å): 2.714 3.426 5.390
angles (deg): 90.00 90.00 90.00
Space group Pmm2 (No. 25)
Unique sites:
Mn1 0.000 0.000 0.000 x1
Mn2 0.500 0.500 0.220 x1
Co1 0.500 0.500 0.754 x1
W1 0.000 0.000 0.504 x1

Properties
The value obtained for the density of states at the Fermi level is 1.091 states/eV/atom.

=====

Energy relative to the most stable one, in meV/atom: a 0; b 18

=====

a | Mn2CoW after structural relaxation. Source: Alexandria via LeMat-Bulk, functional PBE-GGA.

a b c (Å): 2.7130 2.7130 24.9832
angles (deg): 90.00 90.00 120.00
Space group R-3m (No. 166, hexagonal axes)
Unique sites:
Mn1 0.0000 0.0000 0.2445 x6
Co1 0.0000 0.0000 0.5000 x3
W1 0.0000 0.0000 0.0000 x3

Properties
The value obtained for the density of states at the Fermi level is 0.974 states/eV/atom.

=====

b | Mn2CoW after structural relaxation. Source: Alexandria via LeMat-Bulk, functional PBE-GGA.

a b c (Å): 3.664 3.664 3.629
angles (deg): 90.00 90.00 90.00
Space group P4/mmm (No. 123)
Unique sites:
Mn1 0.000 0.500 0.000 x2
Co1 0.000 0.000 0.500 x1
W1 0.500 0.500 0.500 x1

Properties
The value obtained for the density of states at the Fermi level is 1.012 states/eV/atom.

=====

Energy relative to the most stable one, in meV/atom: a 243; b 0